An optimized crystal structure of DyLuTlSn, computed with PBE-GGA.

Summary:
E (eV/atom): -4.276
Space-group type: F-43m (216)
Energy of formation from the pure elements (eV per formula unit): -1.61

Lattice parameters (Å, degrees): 5.3176 5.3176 5.3176 60.00 60.00 60.00
Fractional coordinates of all 4 atoms:
Dy (0.2500, 0.2500, 0.2500)
Lu (0.7500, 0.7500, 0.7500)
Sn (0.5000, 0.5000, 0.5000)
Tl (0.0000, 0.0000, 0.0000)

An optimized crystal structure of SrDyLu, computed with PBE-GGA.

Summary:
E (eV/atom): -3.444
Space-group type: I4mm (107)
Energy above the lowest structure with this stoichiometry (meV/atom): 0
Energy of formation from the pure elements (eV per formula unit): 0.47

Lattice parameters (Å, degrees): 3.7032 3.7032 8.3543 102.81 102.81 90.00
Fractional coordinates of all 3 atoms:
Sr (0.0009, 0.0009, 0.0018)
Dy (0.3182, 0.3182, 0.6363)
Lu (0.6809, 0.6809, 0.3618)

An optimized crystal structure of SrDyLu, computed with PBE-GGA.

Summary:
E (eV/atom): -3.416
Space-group type: P3m1 (156)
Energy above the lowest structure with this stoichiometry (meV/atom): 28
Energy of formation from the pure elements (eV per formula unit): 0.56

Lattice parameters (Å, degrees): 3.6851 3.6851 9.1455 90.00 90.00 120.00
Fractional coordinates of all 3 atoms:
Dy (0.3333, 0.6667, 0.6442)
Sr (0.0000, 0.0000, 0.0030)
Lu (0.6667, 0.3333, 0.3527)

An optimized crystal structure of SrDy2Lu, computed with PBE-GGA.

Summary:
E (eV/atom): -3.713
Space-group type: P4/mmm (123)
Energy of formation from the pure elements (eV per formula unit): 0.56

Lattice parameters (Å, degrees): 3.9862 3.9862 9.1408 90.00 90.00 90.00
Fractional coordinates of all 4 atoms:
Sr (0.5000, 0.5000, 0.5000)
Dy (0.0000, 0.0000, 0.1997)
Dy (0.0000, 0.0000, 0.8003)
Lu (0.5000, 0.5000, 0.0000)

An optimized crystal structure of SrDyLu2, computed with PBE-GGA.

Summary:
E (eV/atom): -3.680
Space-group type: P4/mmm (123)
Energy of formation from the pure elements (eV per formula unit): 0.60

Lattice parameters (Å, degrees): 3.6364 3.6364 10.4594 90.00 90.00 90.00
Fractional coordinates of all 4 atoms:
Lu (0.0000, 0.0000, 0.2187)
Lu (0.0000, 0.0000, 0.7813)
Sr (0.5000, 0.5000, 0.5000)
Dy (0.5000, 0.5000, 0.0000)

An optimized crystal structure of Tb2DyLu, computed with PBE-GGA.

Summary:
E (eV/atom): -4.573
Space-group type: P4/mmm (123)
Energy above the lowest structure with this stoichiometry (meV/atom): 0
Energy of formation from the pure elements (eV per formula unit): 0.09

Lattice parameters (Å, degrees): 3.5231 3.5231 9.9650 90.00 90.00 90.00
Fractional coordinates of all 4 atoms:
Tb (0.0000, 0.0000, 0.2473)
Tb (0.0000, 0.0000, 0.7527)
Dy (0.5000, 0.5000, 0.5000)
Lu (0.5000, 0.5000, 0.0000)

An optimized crystal structure of TbDyLu2, computed with PBE-GGA.

Summary:
E (eV/atom): -4.541
Space-group type: P4/mmm (123)
Energy above the lowest structure with this stoichiometry (meV/atom): 0
Energy of formation from the pure elements (eV per formula unit): 0.11

Lattice parameters (Å, degrees): 3.5024 3.5024 9.8724 90.00 90.00 90.00
Fractional coordinates of all 4 atoms:
Lu (0.0000, 0.0000, 0.2495)
Lu (0.0000, 0.0000, 0.7505)
Tb (0.5000, 0.5000, 0.5000)
Dy (0.5000, 0.5000, 0.0000)

An optimized crystal structure of TbDyLu, computed with PBE-GGA.

Summary:
E (eV/atom): -4.505
Space-group type: P-6m2 (187)
Energy above the lowest structure with this stoichiometry (meV/atom): 54
Energy of formation from the pure elements (eV per formula unit): 0.24

Lattice parameters (Å, degrees): 3.4186 5.5658 5.5658 120.00 90.00 90.00
Fractional coordinates of all 3 atoms:
Dy (0.1674, 0.3333, 0.6667)
Lu (0.1659, 0.0000, 0.0000)
Tb (0.6667, 0.6667, 0.3333)

An optimized crystal structure of Tb2DyLu, computed with PBE-GGA.

Summary:
E (eV/atom): -4.573
Space-group type: P4/mmm (123)
Energy above the lowest structure with this stoichiometry (meV/atom): 0
Energy of formation from the pure elements (eV per formula unit): 0.09

Lattice parameters (Å, degrees): 4.9732 4.9852 4.9852 90.00 90.00 90.00
Fractional coordinates of all 4 atoms:
Dy (0.5000, 0.5000, 0.5000)
Tb (0.0000, 0.5000, 0.0000)
Tb (0.0000, 0.0000, 0.5000)
Lu (0.5000, 0.0000, 0.0000)

An optimized crystal structure of TbDyLu, computed with PBE-GGA.

Summary:
E (eV/atom): -4.559
Space-group type: I4mm (107)
Energy above the lowest structure with this stoichiometry (meV/atom): 0
Energy of formation from the pure elements (eV per formula unit): 0.08

Lattice parameters (Å, degrees): 3.5095 3.5095 7.8734 102.88 102.88 90.00
Fractional coordinates of all 3 atoms:
Dy (0.3322, 0.3322, 0.6643)
Tb (0.0010, 0.0010, 0.0019)
Lu (0.6669, 0.6669, 0.3338)

An optimized crystal structure of TbDyLu2, computed with PBE-GGA.

Summary:
E (eV/atom): -4.455
Space-group type: Fm-3m (225)
Energy above the lowest structure with this stoichiometry (meV/atom): 86
Energy of formation from the pure elements (eV per formula unit): 0.46

Lattice parameters (Å, degrees): 5.5801 5.5801 5.5801 60.00 60.00 60.00
Fractional coordinates of all 4 atoms:
Tb (0.0000, 0.0000, 0.0000)
Lu (0.2500, 0.2500, 0.2500)
Lu (0.7500, 0.7500, 0.7500)
Dy (0.5000, 0.5000, 0.5000)

An optimized crystal structure of Tb2DyLu, computed with PBE-GGA.

Summary:
E (eV/atom): -4.573
Space-group type: R-3m (166)
Energy above the lowest structure with this stoichiometry (meV/atom): 0
Energy of formation from the pure elements (eV per formula unit): 0.09

Lattice parameters (Å, degrees): 3.5260 3.5260 11.6380 81.29 81.29 60.00
Fractional coordinates of all 4 atoms:
Lu (0.5000, 0.5000, 0.5000)
Tb (0.2492, 0.2492, 0.2525)
Tb (0.7508, 0.7508, 0.7475)
Dy (0.0000, 0.0000, 0.0000)

An optimized crystal structure of TbDyLu2, computed with PBE-GGA.

Summary:
E (eV/atom): -4.540
Space-group type: P4/mmm (123)
Energy above the lowest structure with this stoichiometry (meV/atom): 0
Energy of formation from the pure elements (eV per formula unit): 0.11

Lattice parameters (Å, degrees): 4.9176 4.9606 4.9606 90.00 90.00 90.00
Fractional coordinates of all 4 atoms:
Tb (0.5000, 0.5000, 0.5000)
Lu (0.0000, 0.5000, 0.0000)
Lu (0.0000, 0.0000, 0.5000)
Dy (0.5000, 0.0000, 0.0000)

An optimized crystal structure of Tb2DyLu, computed with PBE-GGA.

Summary:
E (eV/atom): -4.462
Space-group type: Fm-3m (225)
Energy above the lowest structure with this stoichiometry (meV/atom): 112
Energy of formation from the pure elements (eV per formula unit): 0.54

Lattice parameters (Å, degrees): 5.6208 5.6208 5.6208 60.00 60.00 60.00
Fractional coordinates of all 4 atoms:
Tb (0.2500, 0.2500, 0.2500)
Tb (0.7500, 0.7500, 0.7500)
Lu (0.5000, 0.5000, 0.5000)
Dy (0.0000, 0.0000, 0.0000)

An optimized crystal structure of TbDyLu2, computed with PBE-GGA.

Summary:
E (eV/atom): -4.540
Space-group type: R-3m (166)
Energy above the lowest structure with this stoichiometry (meV/atom): 1
Energy of formation from the pure elements (eV per formula unit): 0.11

Lattice parameters (Å, degrees): 3.5025 3.5025 11.5364 81.27 81.27 60.00
Fractional coordinates of all 4 atoms:
Tb (0.5000, 0.5000, 0.5000)
Dy (0.0000, 0.0000, 0.0000)
Lu (0.2502, 0.2502, 0.2496)
Lu (0.7498, 0.7498, 0.7504)

An optimized crystal structure of TbDyLuTh, computed with PBE-GGA.

Summary:
E (eV/atom): -5.162
Space-group type: F-43m (216)
Energy of formation from the pure elements (eV per formula unit): 0.53

Lattice parameters (Å, degrees): 5.6347 5.6347 5.6347 60.00 60.00 60.00
Fractional coordinates of all 4 atoms:
Lu (0.5000, 0.5000, 0.5000)
Dy (0.0000, 0.0000, 0.0000)
Tb (0.2500, 0.2500, 0.2500)
Th (0.7500, 0.7500, 0.7500)

An optimized crystal structure of TbDyLuTl, computed with PBE-GGA.

Summary:
E (eV/atom): -4.072
Space-group type: F-43m (216)
Energy of formation from the pure elements (eV per formula unit): -0.17

Lattice parameters (Å, degrees): 5.4410 5.4410 5.4410 60.00 60.00 60.00
Fractional coordinates of all 4 atoms:
Lu (0.5000, 0.5000, 0.5000)
Tb (0.2500, 0.2500, 0.2500)
Dy (0.7500, 0.7500, 0.7500)
Tl (0.0000, 0.0000, 0.0000)

An optimized crystal structure of TbDyLuZn, computed with PBE-GGA.

Summary:
E (eV/atom): -3.739
Space-group type: F-43m (216)
Energy of formation from the pure elements (eV per formula unit): 0.07

Lattice parameters (Å, degrees): 5.2944 5.2944 5.2944 60.00 60.00 60.00
Fractional coordinates of all 4 atoms:
Dy (0.2500, 0.2500, 0.2500)
Lu (0.5000, 0.5000, 0.5000)
Zn (0.0000, 0.0000, 0.0000)
Tb (0.7500, 0.7500, 0.7500)

An optimized crystal structure of DyLu2Tc, computed with PBE-GGA.

Summary:
E (eV/atom): -5.873
Space-group type: R-3m (166)
Energy above the lowest structure with this stoichiometry (meV/atom): 174
Energy of formation from the pure elements (eV per formula unit): 0.52

Lattice parameters (Å, degrees): 4.7962 4.7962 5.6143 64.71 64.71 60.00
Fractional coordinates of all 4 atoms:
Dy (0.5000, 0.5000, 0.5000)
Lu (0.2735, 0.2735, 0.1796)
Lu (0.7265, 0.7265, 0.8204)
Tc (0.0000, 0.0000, 0.0000)

An optimized crystal structure of DyLu2Tc, computed with PBE-GGA.

Summary:
E (eV/atom): -6.047
Space-group type: P4/mmm (123)
Energy above the lowest structure with this stoichiometry (meV/atom): 0
Energy of formation from the pure elements (eV per formula unit): -0.18

Lattice parameters (Å, degrees): 3.3967 3.3967 8.7416 90.00 90.00 90.00
Fractional coordinates of all 4 atoms:
Dy (0.5000, 0.5000, 0.5000)
Lu (0.0000, 0.0000, 0.1843)
Lu (0.0000, 0.0000, 0.8157)
Tc (0.5000, 0.5000, 0.0000)